No. 1
An optimized crystal structure of LaTbTm2Bi4. Source: Alexandria, functional PBE.

## Properties
The crystal system is tetragonal.

Lattice parameters (Å, degrees): 6.3976 6.3976 12.7839 90.00 90.00 90.00
Space group I4/mmm (No. 139)
One atom of each set of equivalent atoms:
La (0.0000, 0.0000, 0.0000) [2 per cell]
Tb (0.0000, 0.0000, 0.5000) [2 per cell]
Tm (0.0000, 0.5000, 0.2500) [4 per cell]
Bi (0.0000, 0.0000, 0.2542) [4 per cell]
Bi (0.0000, 0.5000, 0.0000) [4 per cell]

***

No. 2
An optimized crystal structure of LaTb2TmBi4. Source: Alexandria, functional PBE.

## Properties
The crystal system is orthorhombic.

Lattice parameters (Å, degrees): 9.0769 12.8089 9.0769 90.00 90.00 90.00
Space group Fmm2 (No. 42)
One atom of each set of equivalent atoms:
La (0.0000, 0.0000, 0.0000) [4 per cell]
Tb (0.2500, 0.2500, 0.2494) [8 per cell]
Tm (0.0000, 0.0000, 0.4998) [4 per cell]
Bi (0.0000, 0.2440, 0.4994) [8 per cell]
Bi (0.2501, 0.0000, 0.2499) [8 per cell]

***

Number 1: ΔH_f (0 K) -19.66 kcal/mol of atoms. Number 2: ΔH_f (0 K) -20.41 kcal/mol of atoms.